DFT (PBE) results for PrSm2TmTl2 after structural relaxation.

Cell: 5.175 6.952 10.163 Å, 90.00 90.00 90.00°
Fractional coordinates of all 12 atoms:
Pr 0.000 0.958 0.454
Pr 0.000 0.458 0.546
Sm 0.500 0.053 0.048
Sm 0.000 0.337 0.182
Sm 0.500 0.553 0.952
Sm 0.000 0.837 0.818
Tm 0.500 0.175 0.691
Tm 0.500 0.675 0.309
Tl 0.000 0.297 0.861
Tl 0.500 0.225 0.370
Tl 0.000 0.797 0.139
Tl 0.500 0.725 0.630

Properties
Energy of formation: -0.27 eV/atom
Space-group type: Pmc2_1, No. 26